Record 1
{"formula": "BaLaPm2S4", "functional": "GGA-PBE", "state": "optimized geometry", "lattice_angstrom": [[-4.148, 4.210, 5.908], [4.148, -4.210, 5.908], [4.148, 4.210, -5.908]], "species": ["Ba", "Ba", "La", "La", "Pm", "Pm", "Pm", "Pm", "S", "S", "S", "S", "S", "S", "S", "S"], "fractional_positions": [[0.500, 0.000, 0.000], [0.500, 0.500, 0.500], [0.000, 0.000, 0.000], [0.500, 0.000, 0.500], [0.000, 0.000, 0.500], [0.000, 0.500, 0.000], [0.000, 0.500, 0.500], [0.500, 0.500, 0.000], [0.227, 0.747, 0.480], [0.233, 0.253, 0.980], [0.241, 0.246, 0.505], [0.241, 0.735, 0.995], [0.759, 0.265, 0.005], [0.759, 0.754, 0.495], [0.767, 0.747, 0.020], [0.773, 0.253, 0.520]], "e_tot_ev_per_atom": -6.140, "rho_g_cm3": 5.6, "vol_a3_per_atom": 25.79, "raw_formation_energy_ev_per_atom": -2.0319, "spacegroup": "Imma"}


Record 2
{"formula": "BaLaPm2Se4", "functional": "GGA-PBE", "state": "optimized geometry", "lattice_angstrom": [[-4.308, 4.371, 6.136], [4.308, -4.371, 6.136], [4.308, 4.371, -6.136]], "species": ["Ba", "Ba", "La", "La", "Pm", "Pm", "Pm", "Pm", "Se", "Se", "Se", "Se", "Se", "Se", "Se", "Se"], "fractional_positions": [[0.500, 0.000, 0.000], [0.500, 0.500, 0.500], [0.000, 0.000, 0.000], [0.500, 0.000, 0.500], [0.000, 0.000, 0.500], [0.000, 0.500, 0.000], [0.000, 0.500, 0.500], [0.500, 0.500, 0.000], [0.229, 0.747, 0.482], [0.234, 0.253, 0.982], [0.241, 0.246, 0.505], [0.241, 0.736, 0.995], [0.759, 0.264, 0.005], [0.759, 0.754, 0.495], [0.766, 0.747, 0.018], [0.771, 0.253, 0.518]], "e_tot_ev_per_atom": -5.676, "rho_g_cm3": 6.3, "vol_a3_per_atom": 28.89, "raw_formation_energy_ev_per_atom": -1.8900, "spacegroup": "Imma"}


Record 3
{"formula": "Ba3La2PmSe6", "functional": "GGA-PBE", "state": "optimized geometry", "lattice_angstrom": [[3.838, -6.643, 0.000], [3.838, 6.643, 0.000], [-2.559, 0.000, 7.452]], "species": ["Ba", "Ba", "Ba", "La", "La", "Pm", "Se", "Se", "Se", "Se", "Se", "Se"], "fractional_positions": [[0.000, 0.000, 0.000], [0.332, 0.668, 0.000], [0.668, 0.332, 0.000], [0.167, 0.833, 0.500], [0.833, 0.167, 0.500], [0.500, 0.500, 0.500], [0.096, 0.426, 0.277], [0.246, 0.246, 0.725], [0.426, 0.096, 0.277], [0.574, 0.904, 0.723], [0.754, 0.754, 0.275], [0.904, 0.574, 0.723]], "e_tot_ev_per_atom": -5.405, "rho_g_cm3": 5.7, "vol_a3_per_atom": 31.67, "raw_formation_energy_ev_per_atom": -1.9653, "spacegroup": "C2/m"}